Entry 1:
A plane-wave DFT calculation with PBE was carried out for a relaxed structure of SrSiAs2.

Raw formation energy ... -0.282 eV per atom
Density of states at the Fermi level ... 1.868 states/eV/f.u.
V ... 105 Å³ per cell
Total magnetization ... 0.00 μB per formula unit

Unit cell a=4.5558 b=3.8505 c=5.9834 alpha=90.00 beta=90.26 gamma=90.00
Element x y z (fractional)
Sr: 0.0000 0.0000 0.0000
Si: 0.5000 0.0000 0.5000
As: 0.4986 0.5000 0.7738
As: 0.5014 0.5000 0.2262



Entry 2:
A plane-wave DFT calculation with PBE was carried out for a relaxed structure of Sr2SiAs.

Raw formation energy ... -0.478 eV per atom
Density of states at the Fermi level ... 2.062 states/eV/f.u.
V ... 218 Å³ per cell
Excess energy over the best structure of this formula in the dataset ... 14.1 meV per atom
Total magnetization ... 0.00 μB per formula unit

Unit cell a=5.0189 b=5.0189 c=8.6523 alpha=90.00 beta=90.00 gamma=90.00
Element x y z (fractional)
Sr: 0.0000 0.5000 0.2500
Sr: 0.0000 0.5000 0.7500
Sr: 0.5000 0.0000 0.2500
Sr: 0.5000 0.0000 0.7500
Si: 0.0000 0.0000 0.0000
Si: 0.5000 0.5000 0.5000
As: 0.0000 0.0000 0.5000
As: 0.5000 0.5000 0.0000



Entry 3:
A plane-wave DFT calculation with PBE was carried out for a relaxed structure of Sr2SiAs.

Raw formation energy ... 0.036 eV per atom
Density of states at the Fermi level ... 4.270 states/eV/f.u.
V ... 436 Å³ per cell
Excess energy over the best structure of this formula in the dataset ... 528.9 meV per atom
Total magnetization ... 0.00 μB per formula unit

Unit cell a=7.5803 b=7.5803 c=7.5803 alpha=90.00 beta=90.00 gamma=90.00
Element x y z (fractional)
Sr: 0.0000 0.0000 0.0000
Sr: 0.0000 0.5000 0.5000
Sr: 0.2500 0.2500 0.2500
Sr: 0.2500 0.7500 0.7500
Sr: 0.5000 0.0000 0.5000
Sr: 0.5000 0.5000 0.0000
Sr: 0.7500 0.2500 0.7500
Sr: 0.7500 0.7500 0.2500
Si: 0.2500 0.2500 0.7500
Si: 0.2500 0.7500 0.2500
Si: 0.7500 0.2500 0.2500
Si: 0.7500 0.7500 0.7500
As: 0.0000 0.0000 0.5000
As: 0.0000 0.5000 0.0000
As: 0.5000 0.0000 0.0000
As: 0.5000 0.5000 0.5000



Entry 4:
A plane-wave DFT calculation with PBE was carried out for a relaxed structure of Sr4SiAs4.

Raw formation energy ... -0.998 eV per atom
Density of states at the Fermi level ... 0.053 states/eV/f.u.
V ... 528 Å³ per cell
Excess energy over the best structure of this formula in the dataset ... 28.9 meV per atom
Total magnetization ... 0.00 μB per formula unit

Unit cell a=8.9674 b=8.9674 c=6.5722 alpha=90.00 beta=90.00 gamma=90.00
Element x y z (fractional)
Sr: 0.0175 0.2500 0.0659
Sr: 0.2500 0.0175 0.5659
Sr: 0.2500 0.4825 0.5659
Sr: 0.4825 0.2500 0.0659
Sr: 0.5175 0.7500 0.9341
Sr: 0.7500 0.5175 0.4341
Sr: 0.7500 0.9825 0.4341
Sr: 0.9825 0.7500 0.9341
Si: 0.2500 0.7500 0.2500
Si: 0.7500 0.2500 0.7500
As: 0.0245 0.7500 0.4519
As: 0.2500 0.5245 0.0481
As: 0.2500 0.9755 0.0481
As: 0.4755 0.7500 0.4519
As: 0.5245 0.2500 0.5481
As: 0.7500 0.0245 0.9519
As: 0.7500 0.4755 0.9519
As: 0.9755 0.2500 0.5481



Entry 5:
A plane-wave DFT calculation with PBE was carried out for a relaxed structure of SrSiAs2.

Raw formation energy ... -0.057 eV per atom
Density of states at the Fermi level ... 2.083 states/eV/f.u.
V ... 180 Å³ per cell
Total magnetization ... 0.00 μB per formula unit

Unit cell a=4.2196 b=4.2196 c=10.1128 alpha=90.00 beta=90.00 gamma=90.00
Element x y z (fractional)
Sr: 0.0000 0.0000 0.0000
Sr: 0.5000 0.5000 0.5000
Si: 0.0000 0.5000 0.2500
Si: 0.5000 0.0000 0.7500
As: 0.0000 0.0000 0.5000
As: 0.0000 0.5000 0.7500
As: 0.5000 0.0000 0.2500
As: 0.5000 0.5000 0.0000



Entry 6:
A plane-wave DFT calculation with PBE was carried out for a relaxed structure of Sr2SiAs.

Raw formation energy ... -0.492 eV per atom
Density of states at the Fermi level ... 1.692 states/eV/f.u.
V ... 110 Å³ per cell
Excess energy over the best structure of this formula in the dataset ... 0.0 meV per atom
Total magnetization ... 0.00 μB per formula unit

Unit cell a=3.8198 b=4.0946 c=7.0509 alpha=90.00 beta=90.15 gamma=90.00
Element x y z (fractional)
Sr: 0.9997 0.0000 0.2426
Sr: 0.0003 0.0000 0.7574
Si: 0.5000 0.5000 0.5000
As: 0.5000 0.5000 0.0000